Record 1
First-principles (PBEsol) data for a geometry-optimized K2CoPb structure, as listed in Alexandria via LeMat-Bulk.

Summary:
DFT formation energy, kJ/mol of atoms: 38
Electronic total energy, Ry per atom: -0.228
Volume, Å³ per cell: 130

Unit cell a=3.6034 b=3.6034 c=10.0501 alpha=90.00 beta=90.00 gamma=90.00
With the nearest neighbours (Å) after each atom.
Space group P4mm (No. 99)
Asymmetric unit:
K (0.0000, 0.0000, 0.0000)  1 Pb 3.36, 4 Co 3.60, 4 K 3.60
K (0.5000, 0.5000, 0.4113)  1 Co 3.37, 4 K 3.60, 4 Pb 3.61
Co (0.5000, 0.5000, 0.7468)  4 Pb 2.67
Pb (0.0000, 0.0000, 0.6661)  4 Co 2.67

Record 2
First-principles (PBEsol) data for a geometry-optimized KCoPb2 structure, as listed in Alexandria via LeMat-Bulk.

Summary:
DFT formation energy, kJ/mol of atoms: 65
Electronic total energy, Ry per atom: -0.260
Volume, Å³ per cell: 198

Unit cell a=6.4865 b=9.6850 c=3.1580 alpha=90.00 beta=90.00 gamma=90.00
With the nearest neighbours (Å) after each atom.
Space group Cmmm (No. 65)
Asymmetric unit:
K (0.0000, 0.0000, 0.0000)  2 K 3.16, 2 Co 3.24, 8 Pb 3.31
Co (0.0000, 0.5000, 0.0000)  2 Co 3.16, 2 K 3.24, 8 Pb 3.31
Pb (0.2500, 0.2500, 0.5000)  4 Pb 3.16-3.24, 4 K 3.31, 4 Co 3.31

Record 3
First-principles (PBEsol) data for a geometry-optimized KCoPb2 structure, as listed in Alexandria via LeMat-Bulk.

Summary:
DFT formation energy, kJ/mol of atoms: 18
Electronic total energy, Ry per atom: -0.296
Volume, Å³ per cell: 339

Unit cell a=4.2999 b=4.2999 c=21.1682 alpha=90.00 beta=90.00 gamma=120.00
With the nearest neighbours (Å) after each atom.
Space group R3m (No. 160, hexagonal axes)
Asymmetric unit:
K (0.0000, 0.0000, 0.0000)  6 Pb 3.50-3.58, 1 Co 3.62
Co (0.0000, 0.0000, 0.1712)  6 Pb 2.66-2.69
Pb (0.0000, 0.0000, 0.5499)  3 Co 2.66
Pb (0.0000, 0.0000, 0.7884)  3 Co 2.69